(1)
VASP calculation (PBE) on a relaxed FeOsBr3 crystal.

Geometry as POSCAR:
```
FeOsBr3
1.0
-0.199 -0.153 5.064
5.066 -0.001 0.199
-0.005 5.068 0.153
Os Fe Br
1 1 3
Direct
0.000 0.000 0.000
0.500 0.500 0.500
0.000 0.500 0.000
0.000 0.000 0.500
0.500 0.000 0.000
```

(2)
VASP calculation (PBE) on a relaxed KNiMo2 crystal.

Geometry as POSCAR:
```
KNiMo2
1.0
-1.880 1.924 -0.827
0.634 -1.611 -2.219
-7.248 -6.077 2.340
K Mo Ni
1 2 1
Direct
0.500 0.500 0.729
0.000 0.000 0.054
0.500 0.500 0.264
0.000 0.000 0.452
```

(3)
VASP calculation (PBE) on a relaxed AcAg3Sb2 crystal.

Geometry as POSCAR:
```
AcAg3Sb2
1.0
-0.093 2.039 4.265
-7.465 -3.062 3.921
0.347 -6.778 5.868
Ac Ag Sb
2 6 4
Direct
0.860 0.140 0.141
0.140 0.860 0.859
0.315 0.461 0.909
0.000 0.345 0.656
0.684 0.093 0.539
0.316 0.907 0.461
0.000 0.655 0.344
0.685 0.539 0.091
0.500 0.171 0.830
0.500 0.829 0.170
0.819 0.682 0.681
0.181 0.318 0.319
```

(4)
VASP calculation (PBE) on a relaxed TiTc2P crystal.

Geometry as POSCAR:
```
TiTc2P
1.0
3.168 0.000 0.000
-1.584 4.831 0.000
0.000 0.000 7.382
Ti Tc P
2 4 2
Direct
0.055 0.111 0.750
0.945 0.889 0.250
0.363 0.727 0.955
0.637 0.273 0.045
0.637 0.273 0.455
0.363 0.727 0.545
0.767 0.535 0.750
0.233 0.465 0.250
```

Number 1: mass density 6.19 g cm⁻³, energy -0.288 Ry/atom. Number 2: mass density 6.56 g cm⁻³, energy -0.475 Ry/atom. Number 3: mass density 8.46 g cm⁻³, energy -0.278 Ry/atom. Number 4: mass density 8.08 g cm⁻³, energy -0.674 Ry/atom.